Entry 1:
Computed, not measured: a relaxed NaGa3Pd crystal at the PBE level of DFT.

Geometry as extended XYZ:
```
5
Lattice="-1.282 1.300 4.549 -4.673 -1.081 -1.008 0.736 -4.601 1.522" Properties=species:S:1:pos:R:3 pbc="T T T"
Na -2.609 -2.191 2.531
Ga -2.337 -0.541 -0.504
Ga 0.368 -2.300 0.761
Ga -0.641 0.650 2.274
Pd 0.000 0.000 0.000
```

Calculated values
Calculated total energy, eV/f.u.: -16.25
Symmetry: Pm-3m (221)



Entry 2:
Computed, not measured: a relaxed NaGa2Pd3 crystal at the PBE level of DFT.

Geometry as extended XYZ:
```
6
Lattice="3.895 0.000 0.000 0.000 5.695 0.000 0.000 -2.847 4.932" Properties=species:S:1:pos:R:3 pbc="T T T"
Na 0.000 0.000 0.000
Ga 0.000 2.847 1.644
Ga 0.000 0.000 3.288
Pd 1.947 -1.424 2.466
Pd 1.947 1.424 2.466
Pd 1.947 2.847 0.000
```

Calculated values
Calculated total energy, eV/f.u.: -26.20
Symmetry: P6/mmm (191)



Entry 3:
Computed, not measured: a relaxed Na2Ga4Pd5 crystal at the PBE level of DFT.

Geometry as extended XYZ:
```
11
Lattice="-5.593 -0.459 -1.053 -3.347 -2.891 3.558 -4.060 6.096 3.425" Properties=species:S:1:pos:R:3 pbc="T T T"
Na -5.898 1.067 -0.099
Na -3.755 4.569 2.471
Ga -6.702 3.386 3.159
Ga -6.298 -0.640 2.771
Ga -3.298 0.574 1.786
Ga -9.702 2.172 4.144
Pd -2.797 -0.230 -0.526
Pd -1.674 -1.445 1.779
Pd -4.470 -1.675 1.252
Pd -5.102 1.488 3.228
Pd -7.898 1.258 2.702
```

Calculated values
Calculated total energy, eV/f.u.: -46.12
Symmetry: Fmmm (69)



| no. | E_form (eV per formula unit) |
| --- | --- |
| 1 | -0.65 |
| 2 | -3.25 |
| 3 | -5.41 |